Here is PuIn2Rh2 after structural relaxation from Alexandria. Energies are from PBE.

Calculated values
ΔE_f: -0.41 eV per atom
DOS(E_F): 1.4204 states/eV/atom

a b c (Å): 4.5995 4.5995 5.7638
angles (deg): 89.98 89.98 59.98
Last column: magnetic moment on the atom in μB.
Sites, in units of the cell vectors:
In 0.1666 0.6666 0.3588  0.00
In 0.8334 0.3334 0.6412  0.00
Rh 0.8334 0.3334 0.1612  -0.22
Rh 0.1666 0.6666 0.8388  -0.22
Pu 0.5000 0.0000 0.0000  4.96